one) ! MgVP2O GGA+U optimized geometry; values from VASP
&SYSTEM
  ibrav = 0, nat = 5, ntyp = 4
/
ATOMIC_SPECIES
V 50.94 V.upf
Mg 24.30 Mg.upf
P 30.97 P.upf
O 16.00 O.upf
CELL_PARAMETERS angstrom
4.778 0.000 0.000
0.000 4.778 0.000
0.000 0.000 3.619
ATOMIC_POSITIONS angstrom
V 0.000 0.000 0.000
Mg 2.389 2.389 1.810
P 0.000 2.389 0.000
P 2.389 0.000 0.000
O 0.000 0.000 1.810
! Symmetry ... P4/mmm (123)
! Volume ... 16.526 A^3/atom
! Density of states at the Fermi level ... 0.54 states/eV/atom
! Size of the total moment ... 0.0 Bohr magnetons per cell

=====

two) ! MgVP2O GGA+U optimized geometry; values from VASP
&SYSTEM
  ibrav = 0, nat = 5, ntyp = 4
/
ATOMIC_SPECIES
Mg 24.30 Mg.upf
V 50.94 V.upf
O 16.00 O.upf
P 30.97 P.upf
CELL_PARAMETERS angstrom
-4.435 0.722 1.886
1.858 -0.325 4.493
0.585 3.555 0.016
ATOMIC_POSITIONS angstrom
Mg 0.000 0.000 0.000
V -0.996 1.976 3.197
O 0.293 1.778 0.008
P 0.929 -0.163 2.247
P -2.218 0.361 0.943
! Symmetry ... P4/mmm (123)
! Volume ... 17.112 A^3/atom
! Density of states at the Fermi level ... 0.93 states/eV/atom
! Size of the total moment ... 0.4 Bohr magnetons per cell

=====

Energy relative to the most stable one, in eV/atom: one) 0.000; two) 0.937